# 1
Nd4Au2Br5: optimized geometry, PBE-GGA.

Properties
Formation energy (no corrections)   -1.240 eV/atom
Electronic total energy   -4.33 eV/atom
Crystal system   orthorhombic
ρ   4764 kg/m3
Spin magnetization   0.0 μB/cell

```
data_Nd4Au2Br5
_space_group_name_H-M_alt 'I m m m'
_space_group_IT_number 71
_space_group_name_Hall '-I 2 2'
_cell_length_a 3.982
_cell_length_b 8.549
_cell_length_c 28.062
_cell_angle_alpha 90.00
_cell_angle_beta 90.00
_cell_angle_gamma 90.00
loop_
_atom_site_label
_atom_site_type_symbol
_atom_site_fract_x
_atom_site_fract_y
_atom_site_fract_z
_atom_site_occupancy
Nd1 Nd 0.000 0.000 0.151 1
Nd2 Nd 0.000 0.288 0.500 1
Au1 Au 0.000 0.000 0.051 1
Br1 Br 0.000 0.270 0.320 1
Br2 Br 0.000 0.500 0.000 1
```

=====

# 2
Nd2AuBr: optimized geometry, PBE-GGA.

Properties
Distance to the lowest polymorph of the same formula   0.000 eV per atom
Formation energy (no corrections)   -0.961 eV/atom
Electronic total energy   -4.58 eV/atom
Crystal system   trigonal
ρ   7905 kg/m3
Spin magnetization   0.0 μB/cell

```
data_Nd2AuBr
_space_group_name_H-M_alt 'R -3 m'
_space_group_IT_number 166
_space_group_name_Hall '-R 3 2"'
_cell_length_a 4.3118
_cell_length_b 4.3118
_cell_length_c 22.1276
_cell_angle_alpha 90.00
_cell_angle_beta 90.00
_cell_angle_gamma 120.00
loop_
_atom_site_label
_atom_site_type_symbol
_atom_site_fract_x
_atom_site_fract_y
_atom_site_fract_z
_atom_site_occupancy
Nd1 Nd 0.0000 0.0000 0.2415 1
Au1 Au 0.0000 0.0000 0.5000 1
Br1 Br 0.0000 0.0000 0.0000 1
```

=====

# 3
Nd4OsAuBr2: optimized geometry, PBE-GGA.

Properties
Formation energy (no corrections)   -0.870 eV/atom
Electronic total energy   -5.49 eV/atom
Crystal system   monoclinic
ρ   7712 kg/m3
Spin magnetization   0.0 μB/cell

```
data_Nd4OsAuBr2
_space_group_name_H-M_alt 'P 1 2/m 1'
_space_group_IT_number 10
_space_group_name_Hall '-P 2y'
_cell_length_a 7.372
_cell_length_b 4.219
_cell_length_c 8.166
_cell_angle_alpha 90.00
_cell_angle_beta 107.63
_cell_angle_gamma 90.00
loop_
_atom_site_label
_atom_site_type_symbol
_atom_site_fract_x
_atom_site_fract_y
_atom_site_fract_z
_atom_site_occupancy
Nd1 Nd 0.220 0.000 0.198 1
Nd2 Nd 0.241 0.500 0.798 1
Os1 Os 0.000 0.500 0.000 1
Au1 Au 0.500 0.000 0.000 1
Br1 Br 0.000 0.000 0.500 1
Br2 Br 0.500 0.500 0.500 1
```